# 1
5
Lattice="-1.0630 3.9092 0.1129 -2.3421 -0.5427 -3.2626 -2.9647 -0.8718 2.2733" Properties=species:S:1:pos:R:3 comment="MnZnRu2C PBE relaxed" formation_energy_mev_per_atom=60 magnetic_moment_mub_per_atom=0.5421 pbc="T T T"
Ru -1.1711 -0.2713 -1.6313
Ru -0.5315 1.9546 0.0564
Zn -3.1849 1.2474 -0.4382
Mn -1.4824 -0.4359 1.1367
C 0.0000 0.0000 0.0000

---

# 2
5
Lattice="3.9685 0.0000 0.0000 0.0000 3.9685 0.0000 0.0000 0.0000 3.9685" Properties=species:S:1:pos:R:3 comment="MnCS3 PBE relaxed" formation_energy_uncorrected_ev_per_atom=1.388 magnetic_moment_mub_per_atom=0.0000 pbc="T T T"
S 0.0000 1.9842 0.0000
S 0.0000 0.0000 1.9842
S 1.9842 0.0000 0.0000
Mn 1.9842 1.9842 1.9842
C 0.0000 0.0000 0.0000

---

# 3
5
Lattice="-3.5245 0.3045 0.1871 -0.2822 -3.5092 0.3949 0.2193 0.3780 3.5156" Properties=species:S:1:pos:R:3 comment="MnC3S PBE relaxed" formation_energy_uncorrected_ev_per_atom=2.609 magnetic_moment_mub_per_atom=0.0277 e_above_lowest_polymorph_mev_per_atom=474 pbc="T T T"
S 0.0000 0.0000 0.0000
Mn -1.7937 -1.4134 2.0488
C -0.1411 -1.7546 0.1975
C 0.1097 0.1890 1.7578
C -1.7623 0.1522 0.0936

---

# 4
5
Lattice="-2.7144 1.6498 -2.1261 -2.6098 -2.3504 1.5081 -0.6564 2.5227 2.7955" Properties=species:S:1:pos:R:3 comment="MnC3S PBE relaxed" formation_energy_uncorrected_ev_per_atom=2.135 magnetic_moment_mub_per_atom=0.2074 e_above_lowest_polymorph_mev_per_atom=0 pbc="T T T"
S -2.9903 0.9110 1.0888
Mn 0.0000 0.0000 0.0000
C -1.3049 -1.1752 0.7541
C -0.3282 1.2613 1.3978
C -1.3572 0.8249 -1.0631